## KCdFe (PBE-GGA)

Data for an optimized crystal structure of KCdFe.

Values from the calculation:
- total moment (μB/atom) = 0.926
- DFT formation energy (eV per atom) = 0.801
- symmetry = No. 156
- electronic total energy (Ry per atom) = -0.19777
- energy above the most stable polymorph in this dataset (meV per atom) = 202

Cell lengths 5.3451, 5.3451, 2.9426 Å; angles 90.00, 90.00, 120.00 degrees
With the nearest neighbours (Å) after each atom.
Fractional coordinates of all 3 atoms:
1 Cd 0.0000 0.0000 0.1812  2 Cd 2.94, 3 Fe 3.09
2 Fe 0.6667 0.3333 0.1511  2 Fe 2.94, 3 Cd 3.09
3 K 0.3333 0.6667 0.6677  2 K 2.94